# 1
A plane-wave DFT calculation with PBE was carried out for crystalline Al2InSn at its relaxed geometry.

## Properties
The value obtained for the calculated formation energy is 0.205 eV per atom. As for the space group: P4/mmm, No. 123. The energy above the most stable polymorph in this dataset is 15.1 meV per atom.

abc: 3.5117 3.5117 7.3000
angles: 90.00 90.00 90.00
Element x y z (fractional)
Al1 0.0000 0.0000 0.2449
Al2 0.0000 0.0000 0.7551
In1 0.5000 0.5000 0.5000
Sn1 0.5000 0.5000 0.0000

***

# 2
A plane-wave DFT calculation with PBE was carried out for crystalline TlTcAg2 at its relaxed geometry.

## Properties
The value obtained for the calculated formation energy is 0.607 eV per atom. As for the space group: R-3m, No. 166. The energy above the most stable polymorph in this dataset is 83.2 meV per atom.

abc: 10.1674 10.1674 10.1674
angles: 16.78 16.78 16.78
Element x y z (fractional)
Tl1 0.0000 0.0000 0.0000
Tc1 0.5000 0.5000 0.5000
Ag1 0.2428 0.2428 0.2428
Ag2 0.7572 0.7572 0.7572

***

# 3
A plane-wave DFT calculation with PBE was carried out for crystalline LiPaTcO6 at its relaxed geometry.

## Properties
As for the space group: P-31c, No. 163. The energy comes out at -7.935 eV/atom.

abc: 5.5176 5.5176 9.1738
angles: 90.00 90.00 120.00
Element x y z (fractional)
Li1 0.0000 0.0000 0.0000
Li2 0.0000 0.0000 0.5000
Pa1 0.3333 0.6667 0.2500
Pa2 0.6667 0.3333 0.7500
Tc1 0.3333 0.6667 0.7500
Tc2 0.6667 0.3333 0.2500
O1 0.0309 0.3766 0.6358
O2 0.0309 0.6543 0.8642
O3 0.3457 0.3766 0.8642
O4 0.3457 0.9691 0.6358
O5 0.3766 0.0309 0.1358
O6 0.3766 0.3457 0.3642
O7 0.6234 0.6543 0.6358
O8 0.6234 0.9691 0.8642
O9 0.6543 0.0309 0.3642
O10 0.6543 0.6234 0.1358
O11 0.9691 0.3457 0.1358
O12 0.9691 0.6234 0.3642

***

# 4
A plane-wave DFT calculation with PBE was carried out for crystalline Li2LaPd4 at its relaxed geometry.

## Properties
The value obtained for the calculated formation energy is -0.552 eV per atom. As for the space group: I4/mmm, No. 139.

abc: 5.5193 5.5193 5.5193
angles: 103.11 103.11 123.12
Element x y z (fractional)
Li1 0.2500 0.7500 0.5000
Li2 0.7500 0.2500 0.5000
La1 0.0000 0.0000 0.0000
Pd1 0.2987 0.2987 0.5973
Pd2 0.2987 0.7013 0.0000
Pd3 0.7013 0.2987 0.0000
Pd4 0.7013 0.7013 0.4027

***

# 5
A plane-wave DFT calculation with PBE was carried out for crystalline Pu4SbSe2S at its relaxed geometry.

## Properties
As for the space group: P2/m, No. 10. The energy comes out at -10.390 eV/atom.

abc: 7.2571 4.2047 7.2822
angles: 90.00 109.59 90.00
Element x y z (fractional)
Pu1 0.2323 0.0000 0.2433
Pu2 0.2338 0.5000 0.7453
Pu3 0.7662 0.5000 0.2547
Pu4 0.7677 0.0000 0.7567
Sb1 0.5000 0.5000 0.5000
Se1 0.0000 0.5000 0.0000
Se2 0.5000 0.0000 0.0000
S1 0.0000 0.0000 0.5000

***

# 6
A plane-wave DFT calculation with PBE was carried out for crystalline NpHg2F8 at its relaxed geometry.

## Properties
As for the space group: C2/m, No. 12. The energy comes out at -4.922 eV/atom.

abc: 6.5107 6.5107 4.6790
angles: 101.20 101.20 76.46
Element x y z (fractional)
Np1 0.0000 0.0000 0.0000
Hg1 0.3593 0.3593 0.6760
Hg2 0.6407 0.6407 0.3240
F1 0.0673 0.6818 0.7727
F2 0.1309 0.1309 0.7064
F3 0.3182 0.9327 0.2273
F4 0.4009 0.4009 0.2094
F5 0.5991 0.5991 0.7906
F6 0.6818 0.0673 0.7727
F7 0.8691 0.8691 0.2936
F8 0.9327 0.3182 0.2273

***

# 7
A plane-wave DFT calculation with PBE was carried out for crystalline LiTa2Te4Br10O at its relaxed geometry.

## Properties
As for the space group: P1, No. 1. The energy above the most stable polymorph in this dataset is 0.0 meV per atom.

abc: 8.2757 9.4875 9.7542
angles: 95.58 105.63 95.36
Element x y z (fractional)
Li1 0.0000 0.0000 0.0000
Ta1 0.0470 0.2005 0.3520
Ta2 0.0556 0.9435 0.6301
Te1 0.3084 0.4795 0.8901
Te2 0.4598 0.7468 0.0204
Te3 0.6111 0.3705 0.9949
Te4 0.7618 0.6369 0.1305
Br1 0.0243 0.3660 0.1505
Br2 0.0595 0.7837 0.8504
Br3 0.1951 0.7601 0.5236
Br4 0.2393 0.0566 0.2353
Br5 0.2991 0.3503 0.5076
Br6 0.3450 0.0700 0.7818
Br7 0.7664 0.8201 0.5114
Br8 0.7961 0.0262 0.1600
Br9 0.8341 0.3236 0.4349
Br10 0.9250 0.1260 0.7739
O1 0.0493 0.0650 0.4866

***

# 8
A plane-wave DFT calculation with PBE was carried out for crystalline Pr12Nd5Hg2 at its relaxed geometry.

## Properties
The value obtained for the calculated formation energy is -0.007 eV per atom. As for the space group: C2/m, No. 12.

abc: 9.2183 9.2183 8.7653
angles: 93.24 93.24 62.16
Element x y z (fractional)
Pr1 0.0556 0.0556 0.3101
Pr2 0.0701 0.6841 0.3398
Pr3 0.1681 0.5356 0.7649
Pr4 0.3159 0.9299 0.6602
Pr5 0.4201 0.4201 0.1166
Pr6 0.4644 0.8319 0.2351
Pr7 0.5356 0.1681 0.7649
Pr8 0.5799 0.5799 0.8834
Pr9 0.6841 0.0701 0.3398
Pr10 0.8319 0.4644 0.2351
Pr11 0.9299 0.3159 0.6602
Pr12 0.9444 0.9444 0.6899
Nd1 0.1860 0.1860 0.0060
Nd2 0.2659 0.2659 0.4165
Nd3 0.5000 0.5000 0.5000
Nd4 0.7341 0.7341 0.5835
Nd5 0.8140 0.8140 0.9940
Hg1 0.1862 0.8138 0.0000
Hg2 0.8138 0.1862 0.0000